Record 1
The following is a DFT calculation (PBE) of an optimized crystal structure of Li2Zn2Ir.

## Properties
Energy of formation in kJ per mole of atoms: -25
Polymorph energy (0 for the lowest one) in kJ per mole of atoms: 0.0

```
data_Li2Zn2Ir
_cell_length_a 7.315
_cell_length_b 4.257
_cell_length_c 5.099
_cell_angle_alpha 90.00
_cell_angle_beta 117.97
_cell_angle_gamma 90.00
_space_group_name_H-M_alt 'C 1 2/m 1'
_space_group_IT_number 12
_space_group_name_Hall '-C 2y'
loop_
_atom_site_label
_atom_site_fract_x
_atom_site_fract_y
_atom_site_fract_z
_atom_site_occupancy
Li1 0.201 0.000 0.104 1
Zn1 0.103 0.500 0.308 1
Ir1 0.000 0.000 0.500 1
```

---

Record 2
The following is a DFT calculation (PBE) of an optimized crystal structure of Pm3TlGa2.

## Properties
Energy of formation in kJ per mole of atoms: -49

```
data_Pm3TlGa2
_cell_length_a 3.712
_cell_length_b 3.712
_cell_length_c 11.427
_cell_angle_alpha 90.00
_cell_angle_beta 90.00
_cell_angle_gamma 90.00
_space_group_name_H-M_alt 'P 4/m m m'
_space_group_IT_number 123
_space_group_name_Hall '-P 4 2'
loop_
_atom_site_label
_atom_site_fract_x
_atom_site_fract_y
_atom_site_fract_z
_atom_site_occupancy
Pm1 0.000 0.000 0.000 1
Pm2 0.000 0.000 0.317 1
Tl1 0.500 0.500 0.500 1
Ga1 0.500 0.500 0.159 1
```

---

For reference, D(E_F) by record: 0.481; 0.595 states/eV per atom.